No. 1
# ErGaF

Crystalline ErGaF at its relaxed geometry (PBE-GGA, Alexandria).

Cell lengths 3.341, 3.341, 8.967 Å; angles 90.00, 90.00, 90.00 degrees
Sites, in units of the cell vectors:
Ga1 0.000 0.500 0.586
Ga2 0.500 0.000 0.414
Er1 0.000 0.500 0.195
Er2 0.500 0.000 0.805
F1 0.500 0.000 0.065
F2 0.000 0.500 0.935

Computed properties:
The calculation puts the uncorrected formation energy at -1.75 eV per atom. As for the theoretical density: 8492 kg/m³. The value obtained for the uncorrected energy is -4.90 eV per atom.

---

No. 2
# Ti6NiPd8

Crystalline Ti6NiPd8 at its relaxed geometry (PBE-GGA, Alexandria).

Cell lengths 7.204, 7.204, 6.848 Å; angles 58.26, 58.26, 60.00 degrees
Each line ends with the local moment (μB).
Sites, in units of the cell vectors:
Ti1 0.390 0.108 0.848  0.10
Ti2 0.892 0.346 0.152  0.10
Ti3 0.346 0.610 0.152  0.10
Ti4 0.654 0.390 0.848  0.10
Ti5 0.108 0.654 0.848  0.10
Ti6 0.610 0.892 0.152  0.10
Ni1 0.000 0.000 0.000  0.01
Pd1 0.619 0.150 0.356  0.00
Pd2 0.850 0.125 0.644  0.00
Pd3 0.125 0.381 0.644  0.00
Pd4 0.735 0.735 0.795  0.00
Pd5 0.265 0.265 0.205  0.00
Pd6 0.875 0.619 0.356  0.00
Pd7 0.150 0.875 0.356  0.00
Pd8 0.381 0.850 0.644  0.00

Computed properties:
The calculation puts the formation energy at -34 kJ per mole of atoms. As for the theoretical density: 8132 kg/m³. The value obtained for the uncorrected energy is -6.67 eV per atom.

---

No. 3
# AlTlTc3

Crystalline AlTlTc3 at its relaxed geometry (PBE-GGA, Alexandria).

Cell lengths 5.009, 5.009, 5.009 Å; angles 90.00, 90.00, 90.00 degrees
Each line ends with the local moment (μB).
Sites, in units of the cell vectors:
Tl1 0.000 0.000 0.000  -0.03
Tc1 0.000 0.500 0.000  2.21
Tc2 0.000 0.000 0.500  2.72
Tc3 0.500 0.000 0.000  1.72
Al1 0.500 0.500 0.500  -0.07

Computed properties:
The calculation puts the formation energy at 236 kJ per mole of atoms. As for the theoretical density: 6942 kg/m³. The value obtained for the uncorrected energy is -5.00 eV per atom.

---

No. 4
# PmErTm2

Crystalline PmErTm2 at its relaxed geometry (PBE-GGA, Alexandria).

Cell lengths 3.615, 6.671, 6.671 Å; angles 55.67, 74.30, 74.30 degrees
Sites, in units of the cell vectors:
Pm1 0.250 0.169 0.331
Er1 0.750 0.666 0.834
Tm1 0.001 0.081 0.916
Tm2 0.499 0.584 0.419

Computed properties:
The calculation puts the formation energy at 1 kJ per mole of atoms. As for the theoretical density: 8536 kg/m³. The value obtained for the uncorrected energy is -4.55 eV per atom.

---

Question: The highest theoretical density belongs to which entry?
Answer: PmErTm2

---

Copy entry 1 word for word.
# ErGaF

Crystalline ErGaF at its relaxed geometry (PBE-GGA, Alexandria).

Cell lengths 3.341, 3.341, 8.967 Å; angles 90.00, 90.00, 90.00 degrees
Sites, in units of the cell vectors:
Ga1 0.000 0.500 0.586
Ga2 0.500 0.000 0.414
Er1 0.000 0.500 0.195
Er2 0.500 0.000 0.805
F1 0.500 0.000 0.065
F2 0.000 0.500 0.935

Computed properties:
The calculation puts the uncorrected formation energy at -1.75 eV per atom. As for the theoretical density: 8492 kg/m³. The value obtained for the uncorrected energy is -4.90 eV per atom.